1.
VASP calculation (GGA+U) on a relaxed structure of Tm3CoO6.

Computed properties:
Crystal system ... orthorhombic
E ... -7.801 eV per atom
V ... 12.9 Å³/atom

Unit cell a=8.726 b=10.968 c=5.376 alpha=90.00 beta=90.00 gamma=90.00
Space group Cmc2_1 (No. 36)
Symmetry-distinct sites (fractional):
1 Tm 0.000 0.101 0.000 x4
2 Tm 0.192 0.396 0.047 x8
3 Co 0.000 0.302 0.576 x4
4 O 0.000 0.286 0.235 x4
5 O 0.000 0.461 0.731 x4
6 O 0.159 0.234 0.767 x8
7 O 0.160 0.018 0.274 x8

***

2.
VASP calculation (GGA+U) on a relaxed structure of U3Co5O12.

Computed properties:
Crystal system ... cubic
E ... -7.961 eV per atom
V ... 12.0 Å³/atom

Unit cell a=12.423 b=12.423 c=12.423 alpha=90.00 beta=90.00 gamma=90.00
Space group Ia-3d (No. 230)
Symmetry-distinct sites (fractional):
1 U 0.000 0.250 0.125 x24
2 Co 0.000 0.000 0.000 x16
3 Co 0.000 0.250 0.375 x24
4 O 0.021 0.066 0.654 x96

***

3.
VASP calculation (GGA+U) on a relaxed structure of UCo2O5.

Computed properties:
Crystal system ... monoclinic
E ... -7.708 eV per atom
V ... 12.7 Å³/atom

Unit cell a=6.689 b=6.618 c=9.228 alpha=90.00 beta=95.68 gamma=90.00
Space group P2_1/c (No. 14)
Symmetry-distinct sites (fractional):
1 U 0.250 0.071 0.014 x4
2 Co 0.022 0.054 0.349 x4
3 Co 0.422 0.573 0.161 x4
4 O 0.051 0.664 0.569 x4
5 O 0.211 0.080 0.537 x4
6 O 0.217 0.554 0.305 x4
7 O 0.294 0.088 0.239 x4
8 O 0.468 0.681 0.547 x4

***

4.
VASP calculation (GGA+U) on a relaxed structure of UCo2O6.

Computed properties:
Crystal system ... monoclinic
E ... -7.460 eV per atom
V ... 11.6 Å³/atom

Unit cell a=9.962 b=3.775 c=6.496 alpha=90.00 beta=120.97 gamma=90.00
Space group C2/m (No. 12)
Symmetry-distinct sites (fractional):
1 U 0.000 0.000 0.000 x2
2 Co 0.184 0.000 0.605 x4
3 O 0.022 0.000 0.714 x4
4 O 0.142 0.500 0.085 x4
5 O 0.229 0.500 0.612 x4

***

5.
VASP calculation (GGA+U) on a relaxed structure of U2Co3O8.

Computed properties:
Crystal system ... orthorhombic
E ... -7.935 eV per atom
V ... 17.2 Å³/atom

Unit cell a=6.772 b=6.305 c=10.462 alpha=90.00 beta=90.00 gamma=90.00
Space group Pmn2_1 (No. 31)
Symmetry-distinct sites (fractional):
1 U 0.000 0.039 0.000 x2
2 U 0.000 0.787 0.431 x2
3 Co 0.000 0.495 0.118 x2
4 Co 0.196 0.898 0.704 x4
5 O 0.000 0.009 0.194 x2
6 O 0.000 0.013 0.566 x2
7 O 0.000 0.563 0.303 x2
8 O 0.000 0.725 0.000 x2
9 O 0.220 0.058 0.858 x4
10 O 0.229 0.306 0.062 x4

***

6.
VASP calculation (GGA+U) on a relaxed structure of UCoO4.

Computed properties:
Crystal system ... monoclinic
E ... -8.454 eV per atom
V ... 13.3 Å³/atom

Unit cell a=5.742 b=5.030 c=6.130 alpha=90.00 beta=115.58 gamma=90.00
Space group P2_1/c (No. 14)
Symmetry-distinct sites (fractional):
1 U 0.000 0.000 0.000 x2
2 Co 0.500 0.000 0.500 x2
3 O 0.157 0.192 0.349 x4
4 O 0.329 0.693 0.632 x4

***

7.
VASP calculation (GGA+U) on a relaxed structure of U2Co3O8.

Computed properties:
Crystal system ... orthorhombic
E ... -8.155 eV per atom
V ... 12.7 Å³/atom

Unit cell a=5.156 b=10.398 c=6.146 alpha=90.00 beta=90.00 gamma=90.00
Space group Pnnm (No. 58)
Symmetry-distinct sites (fractional):
1 U 0.044 0.234 0.000 x4
2 Co 0.000 0.000 0.500 x2
3 Co 0.000 0.500 0.262 x4
4 O 0.180 0.597 0.000 x4
5 O 0.202 0.588 0.500 x4
6 O 0.204 0.849 0.267 x8

***

8.
VASP calculation (GGA+U) on a relaxed structure of UCoO.

Computed properties:
Crystal system ... monoclinic
E ... -8.187 eV per atom
V ... 15.6 Å³/atom

Unit cell a=18.616 b=3.136 c=6.818 alpha=90.00 beta=109.38 gamma=90.00
Space group C2/m (No. 12)
Symmetry-distinct sites (fractional):
1 U 0.098 0.000 0.487 x4
2 U 0.116 0.000 0.996 x4
3 Co 0.216 0.500 0.840 x4
4 Co 0.225 0.500 0.353 x4
5 O 0.027 0.000 0.705 x4
6 O 0.102 0.500 0.233 x4